A) The following is a PBE calculation of crystalline LaDy3Th at its relaxed geometry, from Alexandria.

a = 6.488 Å, b = 12.378 Å, c = 16.871 Å
α = 90.00°, β = 90.00°, γ = 90.00°
Space group Fmmm (No. 69)
One atom of each set of equivalent atoms:
La 0.000 0.128 0.000 (multiplicity 8)
Dy 0.000 0.000 0.199 (multiplicity 8)
Dy 0.000 0.132 0.397 (multiplicity 16)
Th 0.250 0.250 0.250 (multiplicity 8)

Computed properties:
As for the size of the total moment: 0.00 μB/cell.

***

B) The following is a PBE calculation of crystalline LaDy3Th at its relaxed geometry, from Alexandria.

a = 17.995 Å, b = 3.446 Å, c = 11.336 Å
α = 90.00°, β = 107.14°, γ = 90.00°
Space group C2/m (No. 12)
One atom of each set of equivalent atoms:
La 0.098 0.000 0.054 (multiplicity 4)
Dy 0.008 0.000 0.730 (multiplicity 4)
Dy 0.198 0.000 0.368 (multiplicity 4)
Dy 0.198 0.500 0.860 (multiplicity 4)
Th 0.100 0.500 0.541 (multiplicity 4)

Computed properties:
As for the size of the total moment: 0.00 μB/cell.

***

B) is the most stable structure; the next one sits 9 meV per atom above it.

***

A) The following is a PBE calculation of crystalline LaDy2Th at its relaxed geometry, from Alexandria.

a = 3.613 Å, b = 3.613 Å, c = 10.126 Å
α = 90.00°, β = 90.00°, γ = 90.00°
Space group P4/mmm (No. 123)
One atom of each set of equivalent atoms:
La 0.000 0.000 0.000 (multiplicity 1)
Dy 0.500 0.500 0.263 (multiplicity 2)
Th 0.000 0.000 0.500 (multiplicity 1)

Computed properties:
As for the size of the total moment: 0.00 μB/cell.

***

B) The following is a PBE calculation of crystalline LaDy2Th at its relaxed geometry, from Alexandria.

a = 8.095 Å, b = 8.095 Å, c = 8.095 Å
α = 90.00°, β = 90.00°, γ = 90.00°
Space group Fm-3m (No. 225)
One atom of each set of equivalent atoms:
La 0.000 0.000 0.000 (multiplicity 4)
Dy 0.250 0.250 0.250 (multiplicity 8)
Th 0.000 0.000 0.500 (multiplicity 4)

Computed properties:
As for the size of the total moment: 0.00 μB/cell.

***

A) is the most stable structure; the next one sits 109 meV per atom above it.

***

A) The following is a PBE calculation of crystalline LaDy2Th at its relaxed geometry, from Alexandria.

a = 3.6134 Å, b = 3.6134 Å, c = 34.8438 Å
α = 90.00°, β = 90.00°, γ = 120.00°
Space group R-3m (No. 166, hexagonal axes)
One atom of each set of equivalent atoms:
La 0.0000 0.0000 0.0000 (multiplicity 3)
Dy 0.0000 0.0000 0.2471 (multiplicity 6)
Th 0.0000 0.0000 0.5000 (multiplicity 3)

Computed properties:
As for the size of the total moment: 0.00 μB/cell.

***

B) The following is a PBE calculation of crystalline LaDy2Th at its relaxed geometry, from Alexandria.

a = 5.129 Å, b = 5.129 Å, c = 4.996 Å
α = 90.00°, β = 90.00°, γ = 90.00°
Space group P4/mmm (No. 123)
One atom of each set of equivalent atoms:
La 0.000 0.000 0.000 (multiplicity 1)
Dy 0.000 0.500 0.500 (multiplicity 2)
Th 0.500 0.500 0.000 (multiplicity 1)

Computed properties:
As for the size of the total moment: 0.00 μB/cell.

***

A) is the most stable structure; the next one sits 28 meV per atom above it.

***

A) The following is a PBE calculation of crystalline LaDy4Th at its relaxed geometry, from Alexandria.

a = 3.595 Å, b = 7.244 Å, c = 7.915 Å
α = 76.70°, β = 76.98°, γ = 89.89°
Space group P-1 (No. 2)
One atom of each set of equivalent atoms:
La 0.000 0.000 0.000 (multiplicity 1)
Dy 0.334 0.174 0.333 (multiplicity 2)
Dy 0.336 0.660 0.329 (multiplicity 2)
Th 0.000 0.500 0.000 (multiplicity 1)

Computed properties:
As for the size of the total moment: 0.00 μB/cell.

***

B) The following is a PBE calculation of crystalline LaDy4Th at its relaxed geometry, from Alexandria.

a = 8.884 Å, b = 14.673 Å, c = 6.632 Å
α = 90.00°, β = 109.42°, γ = 90.00°
Space group C2/c (No. 15)
One atom of each set of equivalent atoms:
La 0.000 0.085 0.250 (multiplicity 4)
Dy 0.091 0.308 0.533 (multiplicity 8)
Dy 0.205 0.132 0.876 (multiplicity 8)
Th 0.000 0.498 0.750 (multiplicity 4)

Computed properties:
As for the size of the total moment: 0.01 μB/cell.

***

A) is the most stable structure; the next one sits 120 meV per atom above it.

***

A) The following is a PBE calculation of crystalline La2Dy2Th at its relaxed geometry, from Alexandria.

a = 5.240 Å, b = 17.902 Å, c = 3.579 Å
α = 90.00°, β = 90.00°, γ = 90.00°
Space group Cmmm (No. 65)
One atom of each set of equivalent atoms:
La 0.000 0.195 0.000 (multiplicity 4)
Dy 0.000 0.403 0.500 (multiplicity 4)
Th 0.000 0.000 0.000 (multiplicity 2)

Computed properties:
As for the size of the total moment: 0.00 μB/cell.

***

B) The following is a PBE calculation of crystalline La2Dy2Th at its relaxed geometry, from Alexandria.

a = 3.6156 Å, b = 3.6156 Å, c = 14.8491 Å
α = 90.00°, β = 90.00°, γ = 120.00°
Space group P-3m1 (No. 164)
One atom of each set of equivalent atoms:
La 0.3333 0.6667 0.1058 (multiplicity 2)
Dy 0.3333 0.6667 0.6891 (multiplicity 2)
Th 0.0000 0.0000 0.5000 (multiplicity 1)

Computed properties:
As for the size of the total moment: 0.00 μB/cell.

***

B) is the most stable structure; the next one sits 40 meV per atom above it.

***

A) The following is a PBE calculation of crystalline LaDy2Ti at its relaxed geometry, from Alexandria.

a = 3.402 Å, b = 3.402 Å, c = 9.999 Å
α = 90.00°, β = 90.00°, γ = 90.00°
Space group P4/mmm (No. 123)
One atom of each set of equivalent atoms:
La 0.000 0.000 0.000 (multiplicity 1)
Dy 0.500 0.500 0.293 (multiplicity 2)
Ti 0.000 0.000 0.500 (multiplicity 1)

Computed properties:
As for the size of the total moment: 0.00 μB/cell.

***

B) The following is a PBE calculation of crystalline LaDy2Ti at its relaxed geometry, from Alexandria.

a = 7.756 Å, b = 7.756 Å, c = 7.756 Å
α = 90.00°, β = 90.00°, γ = 90.00°
Space group Fm-3m (No. 225)
One atom of each set of equivalent atoms:
La 0.000 0.000 0.000 (multiplicity 4)
Dy 0.250 0.250 0.250 (multiplicity 8)
Ti 0.000 0.000 0.500 (multiplicity 4)

Computed properties:
As for the size of the total moment: 11.65 μB/cell.

***

A) is the most stable structure; the next one sits 144 meV per atom above it.

***

A) The following is a PBE calculation of crystalline LaDyTl4 at its relaxed geometry, from Alexandria.

a = 3.915 Å, b = 5.087 Å, c = 8.789 Å
α = 90.00°, β = 90.14°, γ = 90.00°
Space group Pm (No. 6)
One atom of each set of equivalent atoms:
La 0.000 0.000 0.000 (multiplicity 1)
Dy 0.992 0.500 0.505 (multiplicity 1)
Tl 0.354 0.000 0.661 (multiplicity 1)
Tl 0.372 0.500 0.178 (multiplicity 1)
Tl 0.610 0.500 0.831 (multiplicity 1)
Tl 0.650 0.000 0.340 (multiplicity 1)

Computed properties:
As for the size of the total moment: 0.00 μB/cell.

***

B) The following is a PBE calculation of crystalline LaDyTl4 at its relaxed geometry, from Alexandria.

a = 8.865 Å, b = 8.865 Å, c = 8.865 Å
α = 90.00°, β = 90.00°, γ = 90.00°
Space group F-43m (No. 216)
One atom of each set of equivalent atoms:
La 0.000 0.000 0.000 (multiplicity 4)
Dy 0.250 0.250 0.250 (multiplicity 4)
Tl 0.125 0.125 0.625 (multiplicity 16)

Computed properties:
As for the size of the total moment: 0.00 μB/cell.

***

A) is the most stable structure; the next one sits 149 meV per atom above it.

***

A) The following is a PBE calculation of crystalline La2DyTl2 at its relaxed geometry, from Alexandria.

a = 8.283 Å, b = 8.283 Å, c = 4.766 Å
α = 90.00°, β = 90.00°, γ = 90.00°
Space group P4/mbm (No. 127)
One atom of each set of equivalent atoms:
La 0.169 0.331 0.000 (multiplicity 4)
Dy 0.000 0.000 0.500 (multiplicity 2)
Tl 0.132 0.632 0.500 (multiplicity 4)

Computed properties:
As for the size of the total moment: 0.00 μB/cell.

***

B) The following is a PBE calculation of crystalline La2DyTl2 at its relaxed geometry, from Alexandria.

a = 5.032 Å, b = 7.246 Å, c = 8.806 Å
α = 90.00°, β = 90.00°, γ = 90.00°
Space group Immm (No. 71)
One atom of each set of equivalent atoms:
La 0.000 0.000 0.185 (multiplicity 4)
Dy 0.000 0.500 0.000 (multiplicity 2)
Tl 0.000 0.275 0.500 (multiplicity 4)

Computed properties:
As for the size of the total moment: 0.00 μB/cell.

***

A) is the most stable structure; the next one sits 20 meV per atom above it.